# 1
This record from Alexandria describes crystalline NaAc7Sn3 at its relaxed geometry. The functional is PBE.

Cell and atoms, written as extended XYZ:
```
11
Lattice="-3.210 5.270 6.354 3.210 -5.270 6.354 3.210 5.270 -6.354" Properties=species:S:1:pos:R:3 pbc="T T T"
Na 0.000 0.000 0.000
Ac 3.210 0.000 0.000
Ac 3.210 3.416 -2.762
Ac 0.000 3.538 0.000
Ac 0.000 1.854 3.591
Ac 3.210 3.416 2.762
Ac 0.000 7.001 0.000
Ac 0.000 1.854 9.116
Sn 3.210 0.000 3.358
Sn 0.000 0.000 6.354
Sn 0.000 5.270 2.995
```

Computed properties:
volume	429.8	Å³/f.u.
ΔE_f	-0.224	eV/atom

***

# 2
This record from Alexandria describes crystalline Na6AcSn2 at its relaxed geometry. The functional is PBE.

Cell and atoms, written as extended XYZ:
```
9
Lattice="4.746 0.000 0.000 0.000 4.746 0.000 0.000 0.000 13.323" Properties=species:S:1:pos:R:3 pbc="T T T"
Na 0.000 0.000 0.000
Na 0.000 2.373 3.036
Na 0.000 2.373 10.287
Na 2.373 0.000 3.036
Na 2.373 0.000 10.287
Na 2.373 2.373 0.000
Ac 0.000 0.000 6.662
Sn 2.373 2.373 5.244
Sn 2.373 2.373 8.079
```

Computed properties:
volume	300.1	Å³/f.u.
ΔE_f	-0.178	eV/atom

***

# 3
This record from Alexandria describes crystalline Na2Ac2Sn3 at its relaxed geometry. The functional is PBE.

Cell and atoms, written as extended XYZ:
```
7
Lattice="4.532 -2.614 0.000 4.532 2.614 0.000 -0.010 0.000 10.000" Properties=species:S:1:pos:R:3 pbc="T T T"
Na 1.507 0.000 0.623
Na 7.547 0.000 9.377
Ac 1.506 0.000 6.656
Ac 7.548 0.000 3.344
Sn 4.527 0.000 1.614
Sn 4.527 0.000 5.000
Sn 4.527 0.000 8.386
```

Computed properties:
volume	237.0	Å³/f.u.
ΔE_f	-0.414	eV/atom

***

# 4
This record from Alexandria describes crystalline Na4AcSn4 at its relaxed geometry. The functional is PBE.

Cell and atoms, written as extended XYZ:
```
18
Lattice="7.219 0.000 0.000 0.000 7.219 0.000 0.000 0.000 10.377" Properties=species:S:1:pos:R:3 pbc="T T T"
Na 0.092 1.805 1.770
Na 1.805 0.092 6.958
Na 1.805 3.518 6.958
Na 3.518 1.805 1.770
Na 3.701 5.414 8.607
Na 5.414 3.701 3.419
Na 5.414 7.127 3.419
Na 7.127 5.414 8.607
Ac 1.805 5.414 2.594
Ac 5.414 1.805 7.783
Sn 0.317 1.805 4.888
Sn 1.805 0.317 10.076
Sn 1.805 3.293 10.076
Sn 3.293 1.805 4.888
Sn 3.926 5.414 5.489
Sn 5.414 3.926 0.300
Sn 5.414 6.902 0.300
Sn 6.902 5.414 5.489
```

Computed properties:
volume	270.4	Å³/f.u.
ΔE_f	-0.151	eV/atom

***

# 5
This record from Alexandria describes crystalline Na2Ac5Sn4 at its relaxed geometry. The functional is PBE.

Cell and atoms, written as extended XYZ:
```
11
Lattice="11.513 -2.444 0.000 11.513 2.444 0.000 -2.833 0.000 7.576" Properties=species:S:1:pos:R:3 pbc="T T T"
Na 1.353 0.000 0.510
Na 18.839 0.000 7.066
Ac -1.417 0.000 3.788
Ac 7.528 0.000 0.701
Ac 6.134 0.000 4.422
Ac 14.058 0.000 3.154
Ac 12.664 0.000 6.875
Sn 4.274 0.000 1.603
Sn 10.949 0.000 1.513
Sn 9.244 0.000 6.063
Sn 15.918 0.000 5.973
```

Computed properties:
volume	426.3	Å³/f.u.
ΔE_f	-0.345	eV/atom

***

# 6
This record from Alexandria describes crystalline Na2Ac3Sn3 at its relaxed geometry. The functional is PBE.

Cell and atoms, written as extended XYZ:
```
8
Lattice="-1.991 2.813 12.170 1.991 -2.813 12.170 1.991 2.813 -12.170" Properties=species:S:1:pos:R:3 pbc="T T T"
Na 0.000 0.000 6.029
Na 0.000 0.000 18.310
Ac 0.000 0.000 0.000
Ac 1.991 0.000 9.339
Ac 0.000 2.813 2.831
Sn 1.991 0.000 3.489
Sn 0.000 0.000 12.170
Sn 0.000 2.813 8.680
```

Computed properties:
volume	272.6	Å³/f.u.
energy relative to the lowest polymorph listed for this composition	54.9	meV per atom
ΔE_f	-0.419	eV/atom

***

# 7
This record from Alexandria describes crystalline NaAc2Sn2 at its relaxed geometry. The functional is PBE.

Cell and atoms, written as extended XYZ:
```
20
Lattice="8.501 0.000 0.000 0.000 8.501 0.000 0.000 0.000 9.687" Properties=species:S:1:pos:R:3 pbc="T T T"
Na 0.000 0.000 2.417
Na 0.000 0.000 7.270
Na 4.251 4.251 2.427
Na 4.251 4.251 7.260
Ac 1.486 2.767 0.000
Ac 1.484 2.765 4.843
Ac 2.767 7.016 0.000
Ac 2.765 7.018 4.843
Ac 5.734 1.486 0.000
Ac 5.736 1.484 4.843
Ac 7.016 5.734 0.000
Ac 7.018 5.736 4.843
Sn 1.055 5.305 2.422
Sn 1.055 5.305 7.265
Sn 3.196 1.055 2.422
Sn 3.196 1.055 7.265
Sn 5.305 7.446 2.422
Sn 5.305 7.446 7.265
Sn 7.446 3.196 2.422
Sn 7.446 3.196 7.265
```

Computed properties:
volume	175.0	Å³/f.u.
energy relative to the lowest polymorph listed for this composition	0.0	meV per atom
ΔE_f	-0.561	eV/atom

***

# 8
This record from Alexandria describes crystalline Na2AcSn at its relaxed geometry. The functional is PBE.

Cell and atoms, written as extended XYZ:
```
4
Lattice="1.815 1.048 12.606 -1.815 1.048 12.606 0.000 -2.096 12.606" Properties=species:S:1:pos:R:3 pbc="T T T"
Na 0.000 0.000 3.678
Na 0.000 0.000 34.141
Ac 0.000 0.000 0.000
Sn 0.000 0.000 18.909
```

Computed properties:
volume	143.9	Å³/f.u.
ΔE_f	0.166	eV/atom

***

# 9
This record from Alexandria describes crystalline Na2Ac3Sn4 at its relaxed geometry. The functional is PBE.

Cell and atoms, written as extended XYZ:
```
9
Lattice="6.405 -2.489 0.000 6.405 2.489 0.000 -3.297 0.000 9.194" Properties=species:S:1:pos:R:3 pbc="T T T"
Na 1.152 0.000 3.232
Na 8.362 0.000 5.963
Ac -0.585 0.000 6.328
Ac 6.405 0.000 0.000
Ac 10.098 0.000 2.867
Sn 2.503 0.000 0.534
Sn 3.576 0.000 5.553
Sn 5.938 0.000 3.642
Sn 7.010 0.000 8.660
```

Computed properties:
volume	293.2	Å³/f.u.
ΔE_f	-0.493	eV/atom

***

# 10
This record from Alexandria describes crystalline NaAc8Sn5 at its relaxed geometry. The functional is PBE.

Cell and atoms, written as extended XYZ:
```
14
Lattice="-5.106 5.106 5.143 5.106 -5.106 5.143 5.106 5.106 -5.143" Properties=species:S:1:pos:R:3 pbc="T T T"
Na 0.000 0.000 0.000
Ac 6.801 0.727 0.553
Ac 4.305 3.193 -1.880
Ac 0.727 3.412 -0.553
Ac 0.802 1.914 3.263
Ac 1.914 -0.802 7.022
Ac 4.379 1.694 4.589
Ac 3.193 5.908 1.880
Ac -1.694 4.379 5.696
Sn 2.537 -1.316 3.785
Sn 3.790 2.569 1.358
Sn 2.569 6.422 -1.358
Sn 0.000 5.106 2.571
Sn 1.316 2.537 6.500
```

Computed properties:
volume	536.4	Å³/f.u.
ΔE_f	-0.503	eV/atom

***

# 11
This record from Alexandria describes crystalline NaAc5Sn3 at its relaxed geometry. The functional is PBE.

Cell and atoms, written as extended XYZ:
```
18
Lattice="10.242 0.000 0.000 -5.121 8.870 0.000 0.000 0.000 7.143" Properties=species:S:1:pos:R:3 pbc="T T T"
Na 0.000 0.000 0.000
Na 0.000 0.000 3.571
Ac -1.581 2.738 1.786
Ac -3.540 6.132 5.357
Ac 3.162 0.000 1.786
Ac 1.581 2.738 5.357
Ac 0.000 5.913 0.000
Ac 0.000 5.913 3.571
Ac 5.121 2.957 0.000
Ac 5.121 2.957 3.571
Ac 7.081 0.000 5.357
Ac 3.540 6.132 1.786
Sn -1.817 3.147 5.357
Sn -3.304 5.723 1.786
Sn 3.634 0.000 5.357
Sn 1.817 3.147 1.786
Sn 6.608 0.000 1.786
Sn 3.304 5.723 5.357
```

Computed properties:
volume	324.5	Å³/f.u.
ΔE_f	-0.478	eV/atom

***

# 12
This record from Alexandria describes crystalline Na3AcSn2 at its relaxed geometry. The functional is PBE.

Cell and atoms, written as extended XYZ:
```
12
Lattice="8.279 -2.590 0.000 8.279 2.590 0.000 -4.498 0.000 8.661" Properties=species:S:1:pos:R:3 pbc="T T T"
Na -0.779 0.000 3.300
Na 2.689 0.000 4.118
Na 5.392 0.000 2.493
Na 6.669 0.000 6.168
Na 9.372 0.000 4.543
Na 12.840 0.000 5.361
Ac 2.196 0.000 0.258
Ac 9.864 0.000 8.403
Sn 0.251 0.000 6.460
Sn 3.658 0.000 7.216
Sn 8.402 0.000 1.445
Sn 11.809 0.000 2.201
```

Computed properties:
volume	185.7	Å³/f.u.
ΔE_f	-0.303	eV/atom